[1]
Tm2ReSi2MoC | PBE | optimized geometry Values from VASP.

```
&SYSTEM
  ibrav = 0, nat = 7, ntyp = 5
/
ATOMIC_SPECIES
Tm 168.93 Tm.upf
Re 186.21 Re.upf
Si 28.09 Si.upf
Mo 95.94 Mo.upf
C 12.01 C.upf
CELL_PARAMETERS angstrom
5.507 -1.915 0.000
5.507 1.915 0.000
-4.129 0.000 5.630
ATOMIC_POSITIONS angstrom
Tm 0.000 0.000 0.000
Tm -0.832 0.000 3.344
Re 3.183 0.000 1.164
Si 2.291 0.000 3.550
Si 3.871 0.000 5.431
Mo 7.003 0.000 2.150
C 5.078 0.000 1.656
```

---

[2]
Zr2Tl3W4C3 | PBE | optimized geometry Values from VASP.

```
&SYSTEM
  ibrav = 0, nat = 24, ntyp = 4
/
ATOMIC_SPECIES
Zr 91.22 Zr.upf
Tl 204.38 Tl.upf
W 183.84 W.upf
C 12.01 C.upf
CELL_PARAMETERS angstrom
4.875 -2.821 0.000
4.875 2.821 0.000
-3.327 0.000 14.199
ATOMIC_POSITIONS angstrom
Zr 2.411 2.363 8.411
Zr 2.348 2.363 12.888
Zr 4.074 -2.363 1.312
Zr 4.012 -2.363 5.788
Tl -0.724 0.542 10.660
Tl 0.939 -0.542 3.560
Tl 2.379 0.298 10.649
Tl 4.043 -0.298 3.550
Tl 5.483 0.542 10.639
Tl 7.146 -0.542 3.540
W 2.416 0.458 1.038
W 2.397 0.496 6.063
W 0.753 -0.458 8.138
W 0.734 -0.496 13.162
W 5.689 0.496 1.037
W 5.670 0.458 6.061
W 4.025 -0.496 8.137
W 4.006 -0.458 13.161
C 0.774 1.410 7.100
C 4.048 1.384 0.000
C 4.038 1.384 7.100
C 2.437 -1.410 0.000
C 2.385 -1.384 7.100
C 5.701 -1.384 0.000
```

---

| no. | V (Å³ per atom) | energy (eV/atom) |
| --- | --- | --- |
| 1 | 17.0 | -8.071 |
| 2 | 16.3 | -8.640 |